Record 1
# BeZn2Au

BeZn2Au at its PBEsol-relaxed geometry (meta-GGA SCAN, Alexandria via LeMat-Bulk).

Results
Its formation energy is -0.42 eV per formula unit.

```
4
Lattice="0.000 2.981 2.981 2.981 0.000 2.981 2.981 2.981 0.000" Properties=species:S:1:pos:R:3 pbc="T T T"
Be 0.000 0.000 0.000
Zn 1.491 1.491 1.491
Zn 2.981 2.981 2.981
Au 4.472 4.472 4.472
```



Record 2
# BeZnAu2

BeZnAu2 at its PBEsol-relaxed geometry (meta-GGA SCAN, Alexandria via LeMat-Bulk).

Results
Its formation energy is -0.77 eV per formula unit.

```
4
Lattice="3.121 0.000 0.000 0.000 3.121 0.000 0.000 0.000 5.831" Properties=species:S:1:pos:R:3 pbc="T T T"
Be 0.000 0.000 0.000
Zn 1.560 1.560 1.466
Au 0.000 0.000 2.833
Au 1.560 1.560 4.763
```



Record 3
# BeZnAu2

BeZnAu2 at its PBEsol-relaxed geometry (meta-GGA SCAN, Alexandria via LeMat-Bulk).

Results
Its formation energy is -0.84 eV per formula unit.

```
4
Lattice="4.268 0.000 0.000 0.000 4.268 0.000 0.000 0.000 3.083" Properties=species:S:1:pos:R:3 pbc="T T T"
Be 0.000 0.000 0.000
Zn 2.134 2.134 0.000
Au 0.000 2.134 1.542
Au 2.134 0.000 1.542
```



Record 4
# BeZnAu2

BeZnAu2 at its PBEsol-relaxed geometry (meta-GGA SCAN, Alexandria via LeMat-Bulk).

Results
Its formation energy is -0.84 eV per formula unit.

```
4
Lattice="-1.677 1.980 4.265 1.677 -1.980 4.265 1.677 1.980 -4.265" Properties=species:S:1:pos:R:3 pbc="T T T"
Be 0.000 0.000 0.000
Zn 1.677 0.000 2.128
Au 0.000 0.000 4.500
Au 0.000 1.980 2.529
```



Record 5
# BeZn2Au

BeZn2Au at its PBEsol-relaxed geometry (meta-GGA SCAN, Alexandria via LeMat-Bulk).

Results
Its formation energy is -0.59 eV per formula unit.

```
4
Lattice="-1.899 1.899 3.657 1.899 -1.899 3.657 1.899 1.899 -3.657" Properties=species:S:1:pos:R:3 pbc="T T T"
Be 0.000 0.000 0.000
Zn 1.899 0.000 1.828
Zn 0.000 0.000 3.657
Au 0.000 1.899 1.828
```



Record 6
# ZrBeAu2

ZrBeAu2 at its PBEsol-relaxed geometry (meta-GGA SCAN, Alexandria via LeMat-Bulk).

Results
Its formation energy is -1.16 eV per formula unit.

```
4
Lattice="4.241 0.000 0.000 0.000 4.241 0.000 0.000 0.000 3.713" Properties=species:S:1:pos:R:3 pbc="T T T"
Zr 0.000 0.000 0.000
Be 2.121 2.121 0.000
Au 0.000 2.121 1.857
Au 2.121 0.000 1.857
```



Record 7
# ZrBeAu

ZrBeAu at its PBEsol-relaxed geometry (meta-GGA SCAN, Alexandria via LeMat-Bulk).

Results
Its formation energy is -1.82 eV per formula unit.

```
3
Lattice="4.160 0.000 0.000 -2.080 3.603 0.000 0.000 0.000 3.208" Properties=species:S:1:pos:R:3 pbc="T T T"
Zr 0.000 0.000 0.000
Be 2.080 1.201 1.604
Au 0.000 2.402 1.604
```



Record 8
# ZrBeAu2

ZrBeAu2 at its PBEsol-relaxed geometry (meta-GGA SCAN, Alexandria via LeMat-Bulk).

Results
Its formation energy is -2.13 eV per formula unit.

```
4
Lattice="2.984 0.000 0.000 0.000 2.984 0.000 0.000 0.000 7.006" Properties=species:S:1:pos:R:3 pbc="T T T"
Zr 0.000 0.000 0.000
Be 0.000 0.000 3.503
Au 1.492 1.492 2.088
Au 1.492 1.492 4.917
```